Here is a geometry-optimized La3Ni2O6 structure from Alexandria. Energies are from PBE with a Hubbard U.

Cell: 10.0868 10.0868 10.0868 Å, 157.18 157.18 32.50°
Element x y z (fractional)
La 0.0000 0.0000 0.0000
La 0.1841 0.1841 0.0000
La 0.8159 0.8159 0.0000
Ni 0.4168 0.4168 0.0000
Ni 0.5832 0.5832 0.0000
O 0.0832 0.5832 0.5000
O 0.2500 0.7500 0.5000
O 0.4168 0.9168 0.5000
O 0.5832 0.0832 0.5000
O 0.7500 0.2500 0.5000
O 0.9168 0.4168 0.5000

Output
Raw total energy   -77.2 eV/cell
Density   6782 kg/m3